Compound: Al2SiNi4
Source: Alexandria
Functional: PBE
Structure: relaxed

```
data_Al2SiNi4
_symmetry_space_group_name_H-M 'P 1'
_symmetry_Int_Tables_number 1
_cell_length_a 4.877
_cell_length_b 4.877
_cell_length_c 4.877
_cell_angle_alpha 113.98
_cell_angle_beta 113.98
_cell_angle_gamma 100.78
loop_
_symmetry_equiv_pos_as_xyz
'x,y,z'
loop_
_atom_site_label
_atom_site_type_symbol
_atom_site_fract_x
_atom_site_fract_y
_atom_site_fract_z
_atom_site_occupancy
Al1 Al 0.000 0.500 0.500 1
Al2 Al 0.500 0.000 0.500 1
Si1 Si 0.000 0.000 0.000 1
Ni1 Ni 0.000 0.000 0.500 1
Ni2 Ni 0.000 0.500 0.000 1
Ni3 Ni 0.500 0.000 0.000 1
Ni4 Ni 0.500 0.500 0.500 1
```

Output
Fermi-level density of states, states/eV per cell: 5.2
Energy relative to the lowest polymorph listed for this composition, meV per atom: 112
Theoretical density, kg/m3: 5991
M_tot, μB per formula unit: 0.00
ΔE_f (raw), kJ per mole of atoms: -38.2
Raw total energy, eV per cell: -38.80